A plane-wave DFT calculation with PBE was carried out for a relaxed structure of SmTm2Tl3Te6. Values from VASP.

Output
- Formation energy (no corrections): -1.04 eV per atom
- Spin magnetization: 0.00 μB/f.u.
- Mass density: 7.36 g cm⁻³

Structure (Quantum ESPRESSO input):
```
&SYSTEM
  ibrav = 0, nat = 12, ntyp = 4
/
ATOMIC_SPECIES
Sm 150.36 Sm.upf
Tm 168.93 Tm.upf
Tl 204.38 Tl.upf
Te 127.60 Te.upf
CELL_PARAMETERS angstrom
3.8535 -6.6726 0.0000
3.8535 6.6726 0.0000
-2.5703 0.0000 8.1857
ATOMIC_POSITIONS angstrom
Sm 0.0000 0.0000 0.0000
Tm 3.8535 2.2290 0.0000
Tm 3.8535 -2.2290 0.0000
Tl 2.5684 4.4821 4.0929
Tl 2.5684 0.0000 4.0929
Tl 2.5684 -4.4821 4.0929
Te 1.3151 2.2758 1.7467
Te 0.0594 0.0000 6.4559
Te 1.3151 -2.2758 1.7467
Te 3.8216 2.2758 6.4390
Te 5.0773 0.0000 1.7298
Te 3.8216 -2.2758 6.4390
```